DFT (PBE-GGA) results for a relaxed structure of CaPmBi.

Energy above the most stable polymorph in this dataset, meV/atom: 216
DOS at the Fermi energy, states/eV/f.u.: 1.90
Formation energy, eV/atom: -0.455
Density, Mg/m³: 6.76
V, Å³/cell: 96.7

```
CaPmBi
1.0
-2.102 2.102 5.472
2.102 -2.102 5.472
2.102 2.102 -5.472
Ca Pm Bi
1 1 1
Direct
0.000 0.000 0.000
0.306 0.306 0.000
0.657 0.657 0.000
```

DFT (PBE-GGA) results for a relaxed structure of CaPm2Bi3.

DOS at the Fermi energy, states/eV/f.u.: 4.00
Formation energy, eV/atom: -0.825
Density, Mg/m³: 7.70
V, Å³/cell: 206.3

```
CaPm2Bi3
1.0
4.586 0.000 0.000
-2.293 3.972 0.000
0.000 0.000 11.326
Ca Pm Bi
1 2 3
Direct
0.000 0.000 0.000
0.333 0.667 0.669
0.667 0.333 0.331
0.000 0.000 0.500
0.333 0.667 0.171
0.667 0.333 0.829
```

DFT (PBE-GGA) results for a relaxed structure of CaPmBi2.

Energy above the most stable polymorph in this dataset, meV/atom: 82
DOS at the Fermi energy, states/eV/f.u.: 1.85
Formation energy, eV/atom: -0.681
Density, Mg/m³: 7.96
V, Å³/cell: 125.8

```
CaPmBi2
1.0
0.000 3.977 3.977
3.977 0.000 3.977
3.977 3.977 0.000
Ca Pm Bi
1 1 2
Direct
0.000 0.000 0.000
0.500 0.500 0.500
0.250 0.250 0.250
0.750 0.750 0.750
```

DFT (PBE-GGA) results for a relaxed structure of CaPmBi.

Energy above the most stable polymorph in this dataset, meV/atom: 55
DOS at the Fermi energy, states/eV/f.u.: 1.69
Formation energy, eV/atom: -0.617
Density, Mg/m³: 6.66
V, Å³/cell: 392.8

```
CaPmBi
1.0
6.816 0.000 0.000
0.000 4.735 0.000
0.000 0.000 12.171
Ca Pm Bi
4 4 4
Direct
0.045 0.250 0.244
0.455 0.750 0.744
0.545 0.250 0.256
0.955 0.750 0.756
0.209 0.250 0.550
0.291 0.750 0.050
0.709 0.250 0.950
0.791 0.750 0.450
0.209 0.250 0.870
0.291 0.750 0.370
0.709 0.250 0.630
0.791 0.750 0.130
```

DFT (PBE-GGA) results for a relaxed structure of CaPm5Bi6.

DOS at the Fermi energy, states/eV/f.u.: 4.01
Formation energy, eV/atom: -0.891
Density, Mg/m³: 8.18
V, Å³/cell: 409.7

```
CaPm5Bi6
1.0
3.972 -6.887 0.000
3.972 6.887 0.000
-2.652 0.000 7.489
Ca Pm Bi
1 5 6
Direct
0.000 0.000 0.000
0.166 0.834 0.500
0.333 0.667 0.000
0.500 0.500 0.500
0.667 0.333 0.000
0.834 0.166 0.500
0.084 0.419 0.250
0.252 0.252 0.749
0.419 0.084 0.250
0.581 0.916 0.750
0.748 0.748 0.251
0.916 0.581 0.750
```

DFT (PBE-GGA) results for a relaxed structure of CaPmBi.

Energy above the most stable polymorph in this dataset, meV/atom: 232
DOS at the Fermi energy, states/eV/f.u.: 3.59
Formation energy, eV/atom: -0.440
Density, Mg/m³: 6.10
V, Å³/cell: 107.3

```
CaPmBi
1.0
0.000 3.771 3.771
3.771 0.000 3.771
3.771 3.771 0.000
Ca Pm Bi
1 1 1
Direct
0.000 0.000 0.000
0.500 0.500 0.500
0.250 0.250 0.250
```

DFT (PBE-GGA) results for a relaxed structure of CaPm2Bi3.

DOS at the Fermi energy, states/eV/f.u.: 3.22
Formation energy, eV/atom: -0.826
Density, Mg/m³: 7.72
V, Å³/cell: 205.8

```
CaPm2Bi3
1.0
-2.263 3.249 6.999
2.263 -3.249 6.999
2.263 3.249 -6.999
Ca Pm Bi
1 2 3
Direct
0.000 0.000 0.000
0.334 0.334 0.000
0.666 0.666 0.000
0.170 0.670 0.500
0.500 0.000 0.500
0.830 0.330 0.500
```

DFT (PBE-GGA) results for a relaxed structure of CaPm4Bi5.

Energy above the most stable polymorph in this dataset, meV/atom: 0
DOS at the Fermi energy, states/eV/f.u.: 4.41
Formation energy, eV/atom: -0.876
Density, Mg/m³: 8.09
V, Å³/cell: 341.8

```
CaPm4Bi5
1.0
-2.288 3.246 11.509
2.288 -3.246 11.509
2.288 3.246 -11.509
Ca Pm Bi
1 4 5
Direct
0.000 0.000 0.000
0.200 0.200 0.000
0.401 0.401 0.000
0.599 0.599 0.000
0.800 0.800 0.000
0.102 0.602 0.500
0.301 0.801 0.500
0.500 0.000 0.500
0.699 0.199 0.500
0.898 0.398 0.500
```

Question: formation energy of number 5 (CaPm5Bi6)?
Answer: -0.891 eV/atom

Question: What is the formation energy in the seventh record?
Answer: -0.826 eV/atom

Copy entry 8 word for word.
DFT (PBE-GGA) results for a relaxed structure of CaPm4Bi5.

Energy above the most stable polymorph in this dataset, meV/atom: 0
DOS at the Fermi energy, states/eV/f.u.: 4.41
Formation energy, eV/atom: -0.876
Density, Mg/m³: 8.09
V, Å³/cell: 341.8

```
CaPm4Bi5
1.0
-2.288 3.246 11.509
2.288 -3.246 11.509
2.288 3.246 -11.509
Ca Pm Bi
1 4 5
Direct
0.000 0.000 0.000
0.200 0.200 0.000
0.401 0.401 0.000
0.599 0.599 0.000
0.800 0.800 0.000
0.102 0.602 0.500
0.301 0.801 0.500
0.500 0.000 0.500
0.699 0.199 0.500
0.898 0.398 0.500
```